# Sr6AgN2

A relaxed structure of Sr6AgN2 (PBE-GGA, the Alexandria database).

```
Sr6AgN2
1.0
-2.873 3.539 0.518
-3.330 -4.951 -4.951
-3.127 -3.821 8.754
Sr Ag N
6 1 2
direct
0.896 0.792 0.772
0.812 0.623 0.103
0.188 0.377 0.897
0.650 0.300 0.611
0.350 0.700 0.389
0.104 0.208 0.228
0.000 0.000 0.500
0.750 0.499 0.841
0.250 0.501 0.159
```

- Symmetry: C2/m (12)
- Crystal system: monoclinic
- Formation energy from raw total energies: -340 meV/atom